1.
# La2CrFe2

An optimized crystal structure of La2CrFe2 (PBE, Alexandria via LeMat-Bulk).

Calculated values
Energy of formation from the pure elements   0.31 eV per atom
Symmetry   P4/mbm (127)

a b c (Å): 7.0018 7.0018 4.3842
angles (deg): 90.00 90.00 90.00
With the nearest neighbours (Å) after each atom.
Atoms (fractional coordinates):
La (0.1842, 0.3158, 0.0000)  6 Fe 2.97-3.06
La (0.3158, 0.8158, 0.0000)  6 Fe 2.97-3.06
La (0.6842, 0.1842, 0.0000)  6 Fe 2.97-3.06
La (0.8158, 0.6842, 0.0000)  6 Fe 2.97-3.06
Cr (0.0000, 0.0000, 0.5000)  4 Fe 2.82
Cr (0.5000, 0.5000, 0.5000)  4 Fe 2.82
Fe (0.1131, 0.6131, 0.5000)  1 Fe 2.24
Fe (0.3869, 0.1131, 0.5000)  1 Fe 2.24
Fe (0.6131, 0.8869, 0.5000)  1 Fe 2.24
Fe (0.8869, 0.3869, 0.5000)  1 Fe 2.24



2.
# LaCr2Fe2

An optimized crystal structure of LaCr2Fe2 (PBE, Alexandria via LeMat-Bulk).

Calculated values
Energy of formation from the pure elements   0.31 eV per atom
Symmetry   I4/mmm (139)

a b c (Å): 5.7146 5.7146 5.7146
angles (deg): 139.22 139.22 59.04
With the nearest neighbours (Å) after each atom.
Atoms (fractional coordinates):
La (0.0000, 0.0000, 0.0000)  8 Cr 3.12, 8 Fe 3.19
Cr (0.3658, 0.3658, 0.0000)  4 Fe 2.30
Cr (0.6342, 0.6342, 0.0000)  4 Fe 2.30
Fe (0.2500, 0.7500, 0.5000)  4 Cr 2.30
Fe (0.7500, 0.2500, 0.5000)  4 Cr 2.30



3.
# LaCrFe2

An optimized crystal structure of LaCrFe2 (PBE, Alexandria via LeMat-Bulk).

Calculated values
Energy of formation from the pure elements   0.21 eV per atom
Symmetry   R-3m (166)

a b c (Å): 5.7541 5.7541 5.7541
angles (deg): 40.99 40.99 40.99
With the nearest neighbours (Å) after each atom.
Atoms (fractional coordinates):
La (0.0000, 0.0000, 0.0000)  8 Fe 3.09-3.18
Cr (0.5000, 0.5000, 0.5000)  6 Fe 2.37
Fe (0.1955, 0.1955, 0.1955)  3 Cr 2.37, 3 Fe 2.50
Fe (0.8045, 0.8045, 0.8045)  3 Cr 2.37, 3 Fe 2.50



4.
# LaCrFe4

An optimized crystal structure of LaCrFe4 (PBE, Alexandria via LeMat-Bulk).

Calculated values
Energy of formation from the pure elements   0.32 eV per atom
Symmetry   F-43m (216)

a b c (Å): 5.0617 5.0617 5.0617
angles (deg): 60.00 60.00 60.00
With the nearest neighbours (Å) after each atom.
Atoms (fractional coordinates):
La (0.0000, 0.0000, 0.0000)  12 Fe 2.97, 4 Cr 3.10
Cr (0.7500, 0.7500, 0.7500)  12 Fe 2.96, 4 La 3.10
Fe (0.3767, 0.3767, 0.3767)  6 Fe 2.50-2.56
Fe (0.3767, 0.3767, 0.8700)  6 Fe 2.50-2.56
Fe (0.3767, 0.8700, 0.3767)  6 Fe 2.50-2.56
Fe (0.8700, 0.3767, 0.3767)  6 Fe 2.50-2.56



5.
# LaCrFe2

An optimized crystal structure of LaCrFe2 (PBE, Alexandria via LeMat-Bulk).

Calculated values
Energy of formation from the pure elements   0.74 eV per atom
Symmetry   R3m (160)

a b c (Å): 9.1645 9.1645 9.1645
angles (deg): 18.91 18.91 18.91
With the nearest neighbours (Å) after each atom.
Atoms (fractional coordinates):
La (0.0000, 0.0000, 0.0000)  6 La 3.01, 3 Fe 3.20, 3 Cr 3.31
Cr (0.7712, 0.7712, 0.7712)  3 Fe 2.49
Fe (0.2339, 0.2339, 0.2339)  3 Fe 2.44
Fe (0.5040, 0.5040, 0.5040)  3 Fe 2.44, 3 Cr 2.49



6.
# LaCrFe2

An optimized crystal structure of LaCrFe2 (PBE, Alexandria via LeMat-Bulk).

Calculated values
Energy of formation from the pure elements   0.27 eV per atom
Symmetry   Cm (8)

a b c (Å): 4.0452 4.0452 5.8110
angles (deg): 110.44 110.44 60.10
With the nearest neighbours (Å) after each atom.
Atoms (fractional coordinates):
La (0.0000, 0.0000, 0.0000)  4 Cr 2.98-3.31, 4 Fe 3.16-3.18
Cr (0.1870, 0.1870, 0.5608)  6 Fe 2.34-2.48
Fe (0.5084, 0.5084, 0.5247)  3 Cr 2.34-2.35, 3 Fe 2.42
Fe (0.8019, 0.8019, 0.4055)  3 Fe 2.42, 3 Cr 2.47-2.48



7.
# LaCrFe2

An optimized crystal structure of LaCrFe2 (PBE, Alexandria via LeMat-Bulk).

Calculated values
Energy of formation from the pure elements   0.43 eV per atom
Symmetry   Amm2 (38)

a b c (Å): 3.8808 5.4512 5.4512
angles (deg): 40.00 90.00 90.00
With the nearest neighbours (Å) after each atom.
Atoms (fractional coordinates):
La (0.0000, 0.0000, 0.0000)  1 Fe 2.60
Cr (0.5000, 0.7136, 0.7136)  6 Fe 2.44-2.72
Fe (0.0000, 0.2537, 0.2537)  2 Fe 2.26
Fe (0.5000, 0.3669, 0.3669)  2 Fe 2.26, 2 Cr 2.44



8.
# LaCrFe2

An optimized crystal structure of LaCrFe2 (PBE, Alexandria via LeMat-Bulk).

Calculated values
Energy of formation from the pure elements   0.41 eV per atom
Symmetry   P4mm (99)

a b c (Å): 3.0692 3.0692 7.0691
angles (deg): 90.00 90.00 90.00
With the nearest neighbours (Å) after each atom.
Atoms (fractional coordinates):
La (0.0000, 0.0000, 0.0000)  4 La 3.07, 4 Fe 3.19, 4 Cr 3.22
Cr (0.5000, 0.5000, 0.3359)  5 Fe 2.36-2.44
Fe (0.0000, 0.0000, 0.4949)  4 Cr 2.44, 4 Fe 2.50
Fe (0.5000, 0.5000, 0.6692)  1 Cr 2.36, 4 Fe 2.50



9.
# LaCrFe2

An optimized crystal structure of LaCrFe2 (PBE, Alexandria via LeMat-Bulk).

Calculated values
Energy of formation from the pure elements   0.56 eV per atom
Symmetry   F-43m (216)

a b c (Å): 4.5393 4.5393 4.5393
angles (deg): 60.00 60.00 60.00
With the nearest neighbours (Å) after each atom.
Atoms (fractional coordinates):
La (0.0000, 0.0000, 0.0000)  4 Cr 2.78, 4 Fe 2.78
Cr (0.7500, 0.7500, 0.7500)  4 La 2.78, 4 Fe 2.78
Fe (0.2500, 0.2500, 0.2500)  4 Fe 2.78, 4 La 2.78
Fe (0.5000, 0.5000, 0.5000)  4 Cr 2.78, 4 Fe 2.78



10.
# LaCrFe2

An optimized crystal structure of LaCrFe2 (PBE, Alexandria via LeMat-Bulk).

Calculated values
Energy of formation from the pure elements   0.60 eV per atom
Symmetry   Pmmm (47)

a b c (Å): 3.1824 4.6427 4.6558
angles (deg): 90.00 90.00 90.00
With the nearest neighbours (Å) after each atom.
Atoms (fractional coordinates):
La (0.0000, 0.0000, 0.0000)  8 Fe 2.81-2.82
Cr (0.0000, 0.5000, 0.5000)  8 Fe 2.81-2.82
Fe (0.5000, 0.0000, 0.5000)  4 Cr 2.81, 4 La 2.82
Fe (0.5000, 0.5000, 0.0000)  4 La 2.81, 4 Cr 2.82



11.
# LaNb2CrFe

An optimized crystal structure of LaNb2CrFe (PBE, Alexandria via LeMat-Bulk).

Calculated values
Energy of formation from the pure elements   0.64 eV per atom
Symmetry   P4/mmm (123)

a b c (Å): 4.7652 4.7652 4.3919
angles (deg): 90.00 90.00 90.00
With the nearest neighbours (Å) after each atom.
Atoms (fractional coordinates):
La (0.0000, 0.0000, 0.0000)  8 Nb 3.24, 4 Cr 3.37
Nb (0.0000, 0.5000, 0.5000)  2 Fe 2.38
Nb (0.5000, 0.0000, 0.5000)  2 Fe 2.38
Cr (0.5000, 0.5000, 0.0000)  2 Fe 2.20
Fe (0.5000, 0.5000, 0.5000)  2 Cr 2.20, 4 Nb 2.38